[1]
The following is a meta-GGA SCAN calculation of a PBEsol-optimized structure of Y2SbAs, from Alexandria.

```
data_Y2SbAs
_symmetry_space_group_name_H-M 'R -3 m'
_symmetry_Int_Tables_number 166
_symmetry_space_group_name_Hall '-R 3 2"'
_cell_length_a 4.1725
_cell_length_b 4.1725
_cell_length_c 20.7295
_cell_angle_alpha 90.00
_cell_angle_beta 90.00
_cell_angle_gamma 120.00
loop_
_atom_site_label
_atom_site_type_symbol
_atom_site_fract_x
_atom_site_fract_y
_atom_site_fract_z
Y1 Y 0.0000 0.0000 0.2441
Sb1 Sb 0.0000 0.0000 0.0000
As1 As 0.0000 0.0000 0.5000
```

The total magnetization comes out at 0.0 μB/f.u. The calculation puts the density of states at the Fermi level at 0.49 states/eV/f.u. For the total DFT energy (no corrections), the calculation gives -29.798 eV per atom.

[2]
The following is a meta-GGA SCAN calculation of a PBEsol-optimized structure of Tm2IrRh, from Alexandria.

```
data_Tm2IrRh
_symmetry_space_group_name_H-M 'F m -3 m'
_symmetry_Int_Tables_number 225
_symmetry_space_group_name_Hall '-F 4 2 3'
_cell_length_a 6.655
_cell_length_b 6.655
_cell_length_c 6.655
_cell_angle_alpha 90.00
_cell_angle_beta 90.00
_cell_angle_gamma 90.00
loop_
_atom_site_label
_atom_site_type_symbol
_atom_site_fract_x
_atom_site_fract_y
_atom_site_fract_z
Tm1 Tm 0.250 0.250 0.250
Ir1 Ir 0.000 0.000 0.000
Rh1 Rh 0.000 0.000 0.500
```

The total magnetization comes out at 0.0 μB/f.u. The calculation puts the density of states at the Fermi level at 1.26 states/eV/f.u. For the total DFT energy (no corrections), the calculation gives -53.282 eV per atom. The calculation puts the energy relative to the elements at -1.148 eV per atom.

Which volume belongs to each record? In order, 312.5 294.7 Å³ per cell.